Entry 1:
{"formula": "NaLiHPt2", "functional": "GGA-PBE", "state": "optimized geometry", "cell": [[-0.964, -3.312, -1.894], [3.489, -1.556, 0.946], [-1.716, -1.606, 3.683]], "species": ["Pt", "Pt", "Na", "H", "Li"], "fractional_positions": [[0.500, 0.000, 0.000], [0.000, 0.500, 0.000], [0.000, 0.000, 0.500], [0.000, 0.000, 0.000], [0.500, 0.500, 0.500]], "sg": "P4/mmm", "m_tot_mub_per_fu": 0.0, "e_tot_ev_per_atom": -4.014, "de_polymorph_mev_per_atom": 7.9}

---

Entry 2:
{"formula": "La14TmMg", "functional": "GGA-PBE", "state": "optimized geometry", "cell": [[-5.525, 0.573, -4.503], [4.931, -3.309, -3.983], [-3.937, -10.128, 3.541]], "species": ["Tm", "La", "La", "La", "La", "La", "La", "La", "La", "La", "La", "La", "La", "La", "La", "Mg"], "fractional_positions": [[0.383, 0.617, 0.000], [0.809, 0.191, 0.500], [0.181, 0.819, 0.255], [0.322, 0.109, 0.500], [0.104, 0.328, 0.755], [0.400, 0.600, 0.500], [0.891, 0.678, 0.500], [0.604, 0.396, 0.239], [0.672, 0.896, 0.755], [0.604, 0.396, 0.761], [0.334, 0.103, 0.000], [0.897, 0.666, 0.000], [0.181, 0.819, 0.745], [0.104, 0.328, 0.245], [0.672, 0.896, 0.245], [0.842, 0.158, 0.000]], "sg": "Amm2", "m_tot_mub_per_fu": 0.0, "e_tot_ev_per_atom": -4.664, "delta_e_f_kj_per_mol_atoms": 2.5}

---

Entry 3:
{"formula": "MnW", "functional": "GGA-PBE", "state": "optimized geometry", "cell": [[-6.626, -4.012, 2.838], [7.558, -2.970, 1.456], [0.129, 1.547, 2.488]], "species": ["W", "W", "W", "W", "W", "W", "Mn", "Mn", "Mn", "Mn", "Mn", "Mn"], "fractional_positions": [[0.331, 0.165, 0.750], [0.835, 0.669, 0.750], [0.165, 0.835, 0.250], [0.165, 0.331, 0.250], [0.669, 0.835, 0.250], [0.835, 0.165, 0.750], [0.565, 0.435, 0.250], [0.131, 0.565, 0.750], [0.435, 0.869, 0.750], [0.435, 0.565, 0.750], [0.565, 0.131, 0.250], [0.869, 0.435, 0.250]], "sg": "P6_3/mmc", "m_tot_mub_per_fu": 0.0, "e_tot_ev_per_atom": -10.739, "delta_e_f_kj_per_mol_atoms": 31.1}

---

Entry 4:
{"formula": "Th2CoGe4Rh3", "functional": "GGA-PBE", "state": "optimized geometry", "cell": [[4.221, 0.000, 0.000], [0.000, 4.221, 0.000], [0.000, 0.000, 10.176]], "species": ["Rh", "Rh", "Rh", "Ge", "Ge", "Ge", "Ge", "Co", "Th", "Th"], "fractional_positions": [[0.000, 0.000, 0.500], [0.000, 0.500, 0.132], [0.500, 0.000, 0.868], [0.000, 0.000, 0.000], [0.500, 0.500, 0.000], [0.000, 0.500, 0.374], [0.500, 0.000, 0.626], [0.500, 0.500, 0.500], [0.500, 0.000, 0.251], [0.000, 0.500, 0.749]], "sg": "P-4m2", "m_tot_mub_per_fu": 0.0, "e_tot_ev_per_atom": -7.045, "delta_e_f_kj_per_mol_atoms": -77.0}

---

Entry 5:
{"formula": "CaBiRu3", "functional": "GGA-PBE", "state": "optimized geometry", "cell": [[4.749, 0.000, 0.000], [0.000, 4.749, 0.000], [0.000, 0.000, 4.749]], "species": ["Ca", "Ru", "Ru", "Ru", "Bi"], "fractional_positions": [[0.000, 0.000, 0.000], [0.000, 0.500, 0.000], [0.500, 0.000, 0.000], [0.000, 0.000, 0.500], [0.500, 0.500, 0.500]], "sg": "Pm-3m", "m_tot_mub_per_fu": 0.9, "e_tot_ev_per_atom": -4.810, "de_polymorph_mev_per_atom": 602.1, "delta_e_f_kj_per_mol_atoms": 186.4}

---

Entry 6:
{"formula": "Pr2YOs", "functional": "GGA-PBE", "state": "optimized geometry", "cell": [[-0.289, 0.107, -4.118], [-1.707, -5.835, 2.040], [-8.825, 2.824, 0.693]], "species": ["Y", "Y", "Os", "Os", "Pr", "Pr", "Pr", "Pr"], "fractional_positions": [[0.920, 0.841, 0.250], [0.080, 0.159, 0.750], [0.261, 0.523, 0.250], [0.739, 0.477, 0.750], [0.358, 0.716, 0.933], [0.642, 0.284, 0.433], [0.358, 0.716, 0.567], [0.642, 0.284, 0.067]], "sg": "Cmcm", "m_tot_mub_per_fu": 0.0, "e_tot_ev_per_atom": -6.910, "de_polymorph_mev_per_atom": 18.1, "delta_e_f_kj_per_mol_atoms": -9.4}

---

Entry 7:
{"formula": "NaDyCdAg", "functional": "GGA-PBE", "state": "optimized geometry", "cell": [[5.141, 0.000, 0.000], [2.571, 4.452, 0.000], [2.571, 1.484, 4.198]], "species": ["Dy", "Cd", "Ag", "Na"], "fractional_positions": [[0.500, 0.500, 0.500], [0.250, 0.250, 0.250], [0.750, 0.750, 0.750], [0.000, 0.000, 0.000]], "sg": "F-43m", "m_tot_mub_per_fu": 0.0, "e_tot_ev_per_atom": -2.519, "delta_e_f_kj_per_mol_atoms": -9.4}

---

Entry 8:
{"formula": "CaCuPd2", "functional": "GGA-PBE", "state": "optimized geometry", "cell": [[4.128, 0.000, 0.000], [0.000, 4.128, 0.000], [2.064, 2.064, 9.041]], "species": ["Ca", "Ca", "Pd", "Pd", "Pd", "Pd", "Cu", "Cu"], "fractional_positions": [[0.250, 0.750, 0.500], [0.500, 0.500, 0.000], [0.375, 0.336, 0.750], [0.664, 0.125, 0.250], [0.086, 0.625, 0.250], [0.875, 0.914, 0.750], [0.750, 0.250, 0.500], [0.000, 0.000, 0.000]], "sg": "I-42d", "m_tot_mub_per_fu": 0.0, "e_tot_ev_per_atom": -4.251, "de_polymorph_mev_per_atom": 288.2, "delta_e_f_kj_per_mol_atoms": -12.5}